The following is a PBE-GGA calculation of a relaxed SmReNO crystal, from OQMD.

a = 6.286 Å, b = 7.508 Å, c = 4.954 Å
α = 90.00°, β = 90.00°, γ = 90.00°
Fractional positions:
N  0.447  0.143  0.017
N  0.947  0.857  0.017
N  0.053  0.143  0.517
N  0.553  0.857  0.517
O  0.935  0.465  0.152
O  0.435  0.535  0.152
O  0.565  0.465  0.652
O  0.065  0.535  0.652
Re  0.642  0.334  0.012
Re  0.142  0.666  0.012
Re  0.858  0.334  0.512
Re  0.358  0.666  0.512
Sm  0.061  0.159  0.021
Sm  0.561  0.841  0.021
Sm  0.439  0.159  0.521
Sm  0.939  0.841  0.521

Calculated density ... 10415 kg/m³
Distance to the lowest polymorph of the same formula ... 601 meV/atom